No. 1
12
Lattice="4.097 0.000 0.000 0.000 4.097 0.000 0.000 0.000 12.319" Properties=species:S:1:pos:R:3 comment="Tb2CdPd9, optimized geometry, DFT PBE" energy_ev_per_cell=-64.746 volume_a3_per_atom=17.23 spacegroup=P4/mmm ef_ev_per_atom=-0.653 pbc="T T T"
Cd 0.000 0.000 0.000
Pd 0.000 2.049 2.001
Pd 2.049 2.049 8.220
Pd 2.049 0.000 2.001
Pd 0.000 2.049 6.160
Pd 2.049 2.049 4.099
Pd 2.049 0.000 6.160
Pd 2.049 2.049 0.000
Pd 0.000 2.049 10.318
Pd 2.049 0.000 10.318
Tb 0.000 0.000 4.054
Tb 0.000 0.000 8.265


No. 2
4
Lattice="5.225 0.000 0.000 2.613 4.525 0.000 2.613 1.508 4.266" Properties=species:S:1:pos:R:3 comment="TbThCdPd, optimized geometry, DFT PBE" energy_ev_per_cell=-19.698 volume_a3_per_atom=25.22 spacegroup=F-43m ef_ev_per_atom=-0.385 pbc="T T T"
Pd 2.613 1.508 1.067
Th 0.000 0.000 0.000
Tb 5.225 3.017 2.133
Cd 7.838 4.525 3.200


No. 3
4
Lattice="-3.869 0.733 -3.089 -2.429 -3.921 -1.942 -4.649 -1.065 1.516" Properties=species:S:1:pos:R:3 comment="TbTlCdPd, optimized geometry, DFT PBE" energy_ev_per_cell=-14.790 volume_a3_per_atom=22.16 spacegroup=F-43m ef_ev_per_atom=-0.421 pbc="T T T"
Tl -2.737 -1.063 -0.879
Tb 0.000 0.000 0.000
Pd -8.210 -3.190 -2.636
Cd -5.473 -2.127 -1.757


No. 4
4
Lattice="5.101 0.000 0.000 2.551 4.418 0.000 2.551 1.473 4.165" Properties=species:S:1:pos:R:3 comment="TbTmCdPd, optimized geometry, DFT PBE" de_polymorph_mev_per_atom=56 energy_ev_per_cell=-17.436 volume_a3_per_atom=23.47 spacegroup=F-43m ef_ev_per_atom=-0.557 pbc="T T T"
Pd 7.652 4.418 3.124
Cd 2.551 1.473 1.041
Tb 5.101 2.945 2.083
Tm 0.000 0.000 0.000


No. 5
4
Lattice="3.576 0.000 0.000 0.000 3.576 0.000 0.000 0.000 7.361" Properties=species:S:1:pos:R:3 comment="TbTmCdPd, optimized geometry, DFT PBE" de_polymorph_mev_per_atom=0 energy_ev_per_cell=-17.662 volume_a3_per_atom=23.53 spacegroup=P4mm ef_ev_per_atom=-0.613 pbc="T T T"
Tm 0.000 0.000 2.812
Tb 0.000 0.000 6.142
Cd 1.788 1.788 0.841
Pd 1.788 1.788 4.396


No. 6
4
Lattice="4.828 0.000 0.000 2.414 4.181 0.000 2.414 1.394 3.942" Properties=species:S:1:pos:R:3 comment="TbZnCdPd, optimized geometry, DFT PBE" energy_ev_per_cell=-13.967 volume_a3_per_atom=19.90 spacegroup=F-43m ef_ev_per_atom=-0.489 pbc="T T T"
Pd 4.828 2.788 1.971
Zn 0.000 0.000 0.000
Cd 7.242 4.181 2.957
Tb 2.414 1.394 0.986